Record 1
Density functional theory data (GGA-PBEsol) for crystalline Ca3OsC at its relaxed geometry.

```
Ca3OsC
1.0
4.812 0.000 0.000
0.000 4.812 0.000
0.000 0.000 4.812
Ca Os C
3 1 1
direct
0.000 0.000 0.500
0.000 0.500 0.000
0.500 0.000 0.000
0.500 0.500 0.500
0.000 0.000 0.000
```

- E_tot (eV/atom) = -4.793
- space group = Pm-3m, No. 221
- N(E_F) (states/eV/atom) = 1.262

***

Record 2
Density functional theory data (GGA-PBEsol) for crystalline CaOsC3 at its relaxed geometry.

```
CaOsC3
1.0
3.968 0.000 0.000
0.000 3.968 0.000
0.000 0.000 3.968
Ca Os C
1 1 3
direct
0.000 0.000 0.000
0.500 0.500 0.500
0.000 0.000 0.500
0.000 0.500 0.000
0.500 0.000 0.000
```

- space group = Pm-3m, No. 221
- energy above the most stable polymorph in this dataset (meV per atom) = 2837
- N(E_F) (states/eV/atom) = 1.024

***

Record 3
Density functional theory data (GGA-PBEsol) for crystalline CaOsC3 at its relaxed geometry.

```
CaOsC3
1.0
3.981 0.000 0.000
0.000 3.981 0.000
0.000 0.000 3.981
Ca Os C
1 1 3
direct
0.000 0.000 0.000
0.500 0.500 0.500
0.000 0.500 0.500
0.500 0.000 0.500
0.500 0.500 0.000
```

- space group = Pm-3m, No. 221
- energy above the most stable polymorph in this dataset (meV per atom) = 0
- N(E_F) (states/eV/atom) = 0.579

***

Record 4
Density functional theory data (GGA-PBEsol) for crystalline Ca2TiOsC at its relaxed geometry.

```
Ca2TiOsC
1.0
5.564 0.000 0.000
0.000 5.564 0.000
0.000 0.000 3.869
Ca Ti Os C
2 1 1 1
direct
0.000 0.500 0.000
0.500 0.000 0.000
0.000 0.000 0.500
0.500 0.500 0.000
0.500 0.500 0.500
```

- E_tot (eV/atom) = -5.891
- space group = P4/mmm, No. 123
- N(E_F) (states/eV/atom) = 0.795

***

Record 5
Density functional theory data (GGA-PBEsol) for crystalline CaPPb2C at its relaxed geometry.

```
CaPPb2C
1.0
5.175 0.000 0.000
0.000 5.175 0.000
0.000 0.000 5.303
Ca P Pb C
1 1 2 1
direct
0.000 0.000 0.000
0.000 0.000 0.500
0.000 0.500 0.500
0.500 0.000 0.500
0.500 0.500 0.000
```

- E_tot (eV/atom) = -3.800
- space group = P4/mmm, No. 123
- N(E_F) (states/eV/atom) = 0.564

***

Record 6
Density functional theory data (GGA-PBEsol) for crystalline CaSb2PC at its relaxed geometry.

```
CaSb2PC
1.0
5.145 0.000 0.000
0.000 5.145 0.000
0.000 0.000 3.777
Ca Sb P C
1 2 1 1
direct
0.000 0.000 0.000
0.000 0.500 0.500
0.500 0.000 0.500
0.500 0.500 0.000
0.500 0.500 0.500
```

- space group = P4/mmm, No. 123
- N(E_F) (states/eV/atom) = 0.493
- formation energy (no corrections) (eV/atom) = 0.440